An optimized crystal structure of SbTeP2. Source: Alexandria via LeMat-Bulk, functional GGA-PBEsol.

```
SbTeP2
1.0
-3.2782 0.5577 0.2613
-0.2307 -2.4240 2.2797
1.4049 5.4677 5.9561
Sb Te P
1 1 2
direct
0.0000 0.0000 0.4523
0.5000 0.5000 0.8000
0.0000 0.0000 0.1424
0.5000 0.5000 0.1053
```

Computed properties:
D(E_F): 1.7 states/eV/f.u.
distance to the lowest polymorph of the same formula: 0.000 eV/atom
uncorrected formation energy: 119 meV/atom